(1)
Entry from Alexandria: crystalline KAsRh2 at its relaxed geometry (PBE-GGA).

The calculation puts the total magnetization at 0.00 μB per formula unit. For the uncorrected energy, the calculation gives -0.36938 Ry/atom. The energy of formation comes out at 8.4 kJ/mol of atoms.

Cell: 3.032 3.032 8.831 Å, 69.85 90.00 90.00°
Sites, in units of the cell vectors:
Rh (0.000, 0.577, 0.423)
Rh (0.000, 0.923, 0.077)
K (0.500, 0.750, 0.750)
As (0.500, 0.250, 0.250)

(2)
Entry from Alexandria: crystalline Ho2Ga9Sn at its relaxed geometry (PBE-GGA).

The calculation puts the total magnetization at 0.00 μB per formula unit. For the uncorrected energy, the calculation gives -0.26895 Ry/atom. The energy of formation comes out at -28.2 kJ/mol of atoms.

Cell: 4.266 4.266 13.202 Å, 90.00 90.00 90.00°
Sites, in units of the cell vectors:
Ga (0.500, 0.000, 0.828)
Ga (0.500, 0.500, 0.340)
Ga (0.000, 0.500, 0.172)
Ga (0.500, 0.000, 0.500)
Ga (0.500, 0.500, 0.000)
Ga (0.500, 0.000, 0.172)
Ga (0.000, 0.500, 0.500)
Ga (0.500, 0.500, 0.660)
Ga (0.000, 0.500, 0.828)
Sn (0.000, 0.000, 0.000)
Ho (0.000, 0.000, 0.340)
Ho (0.000, 0.000, 0.660)

(3)
Entry from Alexandria: crystalline NaTh2MnN4 at its relaxed geometry (PBE-GGA).

The calculation puts the total magnetization at 4.02 μB per formula unit. For the uncorrected energy, the calculation gives -0.60930 Ry/atom.

Cell: 3.738 6.546 12.083 Å, 90.00 90.00 106.59°
Sites, in units of the cell vectors:
N (0.635, 0.269, 0.250)
N (0.754, 0.509, 0.898)
N (0.365, 0.731, 0.750)
N (0.000, 0.000, 0.500)
N (0.246, 0.491, 0.398)
N (0.246, 0.491, 0.102)
N (0.754, 0.509, 0.602)
N (0.000, 0.000, 0.000)
Th (0.632, 0.264, 0.049)
Th (0.368, 0.736, 0.951)
Th (0.632, 0.264, 0.451)
Th (0.368, 0.736, 0.549)
Mn (0.193, 0.386, 0.250)
Mn (0.807, 0.614, 0.750)
Na (0.899, 0.799, 0.250)
Na (0.101, 0.201, 0.750)

(4)
Entry from Alexandria: crystalline ZrScAlTc at its relaxed geometry (PBE-GGA).

The calculation puts the total magnetization at 0.00 μB per formula unit. The excess energy over the best structure of this formula in the dataset is 48 meV per atom. For the uncorrected energy, the calculation gives -0.56159 Ry/atom. The energy of formation comes out at -38.0 kJ/mol of atoms.

Cell: 4.702 4.702 4.702 Å, 60.00 60.00 60.00°
Sites, in units of the cell vectors:
Zr (0.500, 0.500, 0.500)
Tc (0.750, 0.750, 0.750)
Sc (0.000, 0.000, 0.000)
Al (0.250, 0.250, 0.250)